Density functional theory data (PBE-GGA) for a geometry-optimized AcPb2IO4 structure.

**Energy relative to the elements, uncorrected**: -1.558 eV/atom
**Uncorrected energy**: -0.4169 Ry/atom

abc: 4.157 4.157 9.833
angles: 90.00 90.00 90.00
Element x y z (fractional)
Ac 0.000 0.000 0.000
Pb 0.500 0.500 0.263
Pb 0.500 0.500 0.737
I 0.000 0.000 0.500
O 0.000 0.500 0.157
O 0.500 0.000 0.843
O 0.500 0.000 0.157
O 0.000 0.500 0.843